No. 1
# Tc4OsPb | Alexandria | PBE | optimized geometry
data_Tc4OsPb
_chemical_formula_sum 'Tc16 Os4 Pb4'
_cell_length_a 7.326
_cell_length_b 7.326
_cell_length_c 7.326
_cell_angle_alpha 90.00
_cell_angle_beta 90.00
_cell_angle_gamma 90.00
_space_group_name_H-M_alt 'F -4 3 m'
_space_group_IT_number 216
_space_group_name_Hall 'F -4 2 3'
loop_
_atom_site_label
_atom_site_fract_x
_atom_site_fract_y
_atom_site_fract_z
Tc1 0.125 0.125 0.125
Os1 0.250 0.250 0.750
Pb1 0.000 0.000 0.500
# - energy of formation from the pure elements (meV/atom) = 730
# - Fermi-level density of states (states/eV per atom) = 1.4252
# - calculated total energy (eV per formula unit) = -52.02

No. 2
# Tb4Sm2TmSc | Alexandria | PBE | optimized geometry
data_Tb4Sm2TmSc
_chemical_formula_sum 'Tb4 Sm2 Tm1 Sc1'
_cell_length_a 5.003
_cell_length_b 5.003
_cell_length_c 9.947
_cell_angle_alpha 90.00
_cell_angle_beta 90.00
_cell_angle_gamma 90.00
_space_group_name_H-M_alt 'P 4/m m m'
_space_group_IT_number 123
_space_group_name_Hall '-P 4 2'
loop_
_atom_site_label
_atom_site_fract_x
_atom_site_fract_y
_atom_site_fract_z
Tb1 0.000 0.500 0.246
Sm1 0.000 0.000 0.000
Sm2 0.500 0.500 0.500
Tm1 0.000 0.000 0.500
Sc1 0.500 0.500 0.000
# - energy of formation from the pure elements (meV/atom) = 31
# - Fermi-level density of states (states/eV per atom) = 1.4339
# - calculated total energy (eV per formula unit) = -38.51

No. 3
# TlSb2Pt | Alexandria | PBE | optimized geometry
data_TlSb2Pt
_chemical_formula_sum 'Tl1 Sb2 Pt1'
_cell_length_a 4.549
_cell_length_b 4.549
_cell_length_c 4.627
_cell_angle_alpha 90.00
_cell_angle_beta 90.00
_cell_angle_gamma 90.00
_space_group_name_H-M_alt 'P 4/m m m'
_space_group_IT_number 123
_space_group_name_Hall '-P 4 2'
loop_
_atom_site_label
_atom_site_fract_x
_atom_site_fract_y
_atom_site_fract_z
Tl1 0.000 0.000 0.000
Sb1 0.000 0.500 0.500
Pt1 0.500 0.500 0.000
# - formation energy from raw total energies (eV/atom) = 0.2082
# - Fermi-level density of states (states/eV per atom) = 0.3410
# - offset from the most stable computed form (meV/atom) = 491
# - calculated total energy (eV per formula unit) = -15.82

No. 4
# LaY2ScTc | Alexandria | PBE | optimized geometry
data_LaY2ScTc
_chemical_formula_sum 'La1 Y2 Sc1 Tc1'
_cell_length_a 5.269
_cell_length_b 5.269
_cell_length_c 5.394
_cell_angle_alpha 90.00
_cell_angle_beta 90.00
_cell_angle_gamma 90.00
_space_group_name_H-M_alt 'P 4/m m m'
_space_group_IT_number 123
_space_group_name_Hall '-P 4 2'
loop_
_atom_site_label
_atom_site_fract_x
_atom_site_fract_y
_atom_site_fract_z
La1 0.000 0.000 0.000
Y1 0.000 0.500 0.500
Sc1 0.000 0.000 0.500
Tc1 0.500 0.500 0.000
# - energy of formation from the pure elements (meV/atom) = 1433
# - Fermi-level density of states (states/eV per atom) = 2.3063
# - offset from the most stable computed form (meV/atom) = 1352
# - calculated total energy (eV per formula unit) = -27.39

No. 5
# Np3Pa4Se8 | Alexandria | PBE | optimized geometry
data_Np3Pa4Se8
_chemical_formula_sum 'Np6 Pa8 Se16'
_cell_length_a 11.453
_cell_length_b 11.468
_cell_length_c 8.082
_cell_angle_alpha 90.00
_cell_angle_beta 134.84
_cell_angle_gamma 90.00
_space_group_name_H-M_alt 'C 1 2/m 1'
_space_group_IT_number 12
_space_group_name_Hall '-C 2y'
loop_
_atom_site_label
_atom_site_fract_x
_atom_site_fract_y
_atom_site_fract_z
Np1 0.000 0.000 0.000
Np2 0.250 0.250 0.000
Pa1 0.000 0.000 0.500
Pa2 0.000 0.500 0.000
Pa3 0.250 0.250 0.500
Se1 0.000 0.249 0.000
Se2 0.000 0.259 0.500
Se3 0.240 0.500 0.501
Se4 0.241 0.500 0.985
# - formation energy from raw total energies (eV/atom) = -1.1851
# - Fermi-level density of states (states/eV per atom) = 2.5349
# - calculated total energy (eV per formula unit) = -122.46

No. 6
# TiCrAg3 | Alexandria | PBE | optimized geometry
data_TiCrAg3
_chemical_formula_sum 'Ti1 Cr1 Ag3'
_cell_length_a 4.989
_cell_length_b 4.989
_cell_length_c 4.989
_cell_angle_alpha 90.00
_cell_angle_beta 90.00
_cell_angle_gamma 90.00
_space_group_name_H-M_alt 'P m -3 m'
_space_group_IT_number 221
_space_group_name_Hall '-P 4 2 3'
loop_
_atom_site_label
_atom_site_fract_x
_atom_site_fract_y
_atom_site_fract_z
Ti1 0.000 0.000 0.000
Cr1 0.500 0.500 0.500
Ag1 0.000 0.000 0.500
# - energy of formation from the pure elements (meV/atom) = 1297
# - Fermi-level density of states (states/eV per atom) = 0.7093
# - offset from the most stable computed form (meV/atom) = 165
# - calculated total energy (eV per formula unit) = -19.59

No. 7
# Li3Ag2P3 | Alexandria | PBE | optimized geometry
data_Li3Ag2P3
_chemical_formula_sum 'Li6 Ag4 P6'
_cell_length_a 5.632
_cell_length_b 5.632
_cell_length_c 7.603
_cell_angle_alpha 90.00
_cell_angle_beta 90.00
_cell_angle_gamma 90.00
_space_group_name_H-M_alt 'P 42/n n m'
_space_group_IT_number 134
loop_
_space_group_symop_operation_xyz
'x,y,z'
'-x,-y,-z'
'-y+1/2,x,z+1/2'
'y+1/2,-x,-z+1/2'
'-x+1/2,-y+1/2,z'
'x+1/2,y+1/2,-z'
'y,-x+1/2,z+1/2'
'-y,x+1/2,-z+1/2'
'x,-y+1/2,-z+1/2'
'-x,y+1/2,z+1/2'
'-y+1/2,-x+1/2,-z'
'y+1/2,x+1/2,z'
'-x+1/2,y,-z+1/2'
'x+1/2,-y,z+1/2'
'y,x,-z'
'-y,-x,z'
loop_
_atom_site_label
_atom_site_fract_x
_atom_site_fract_y
_atom_site_fract_z
Li1 0.250 0.250 0.250
Li2 0.250 0.750 0.250
Ag1 0.000 0.000 0.000
P1 0.000 0.000 0.500
P2 0.250 0.750 0.750
# - energy of formation from the pure elements (meV/atom) = -140
# - Fermi-level density of states (states/eV per atom) = 0.1340
# - offset from the most stable computed form (meV/atom) = 0
# - calculated total energy (eV per formula unit) = -28.80

No. 8
# ZnReBr2 | Alexandria | PBE | optimized geometry
data_ZnReBr2
_chemical_formula_sum 'Zn2 Re2 Br4'
_cell_length_a 6.146
_cell_length_b 8.876
_cell_length_c 3.036
_cell_angle_alpha 90.00
_cell_angle_beta 92.69
_cell_angle_gamma 90.00
_space_group_name_H-M_alt 'C 1 2/m 1'
_space_group_IT_number 12
_space_group_name_Hall '-C 2y'
loop_
_atom_site_label
_atom_site_fract_x
_atom_site_fract_y
_atom_site_fract_z
Zn1 0.000 0.000 0.000
Re1 0.000 0.500 0.000
Br1 0.250 0.250 0.000
# - formation energy from raw total energies (eV/atom) = 1.0355
# - Fermi-level density of states (states/eV per atom) = 0.9328
# - offset from the most stable computed form (meV/atom) = 848
# - calculated total energy (eV per formula unit) = -12.93

Question: Look up the calculated total energy of the fifth one.
Answer: -122.46 eV per formula unit